[1]
Crystalline KRb2Tl3I6 at its relaxed geometry, computed with PBE.

```
KRb2Tl3I6
1.0
-3.945 -0.160 -3.248
0.504 -10.241 -0.107
-5.040 2.229 10.036
Tl I K Rb
3 6 1 2
Direct
0.167 0.834 0.333 Tl
0.500 0.500 0.000 Tl
0.833 0.166 0.667 Tl
0.004 0.753 0.008 I
0.996 0.247 0.992 I
0.664 0.589 0.329 I
0.335 0.926 0.669 I
0.336 0.411 0.671 I
0.665 0.074 0.331 I
0.500 0.000 0.000 K
0.166 0.331 0.331 Rb
0.834 0.669 0.669 Rb
```

Results
The space group is C2/m, No. 12. As for the final energy: -2.69 eV per atom.


[2]
Crystalline KRb3Tl4I8 at its relaxed geometry, computed with PBE.

```
KRb3Tl4I8
1.0
-8.145 -6.122 -1.081
3.577 -6.076 7.459
-1.316 10.018 1.737
I Tl K Rb
8 4 1 3
Direct
0.754 0.762 0.508 I
0.750 0.243 0.992 I
0.246 0.238 0.492 I
0.250 0.757 0.008 I
0.250 0.758 0.500 I
0.242 0.243 0.992 I
0.758 0.757 0.008 I
0.750 0.242 0.500 I
0.000 0.000 0.000 Tl
0.000 0.000 0.500 Tl
0.500 0.000 0.500 Tl
0.500 0.000 0.000 Tl
0.000 0.500 0.000 K
0.500 0.500 0.000 Rb
0.000 0.500 0.500 Rb
0.500 0.500 0.500 Rb
```

Results
The space group is C2/m, No. 12. As for the final energy: -2.69 eV per atom.


[3]
Crystalline K2RbTl3I6 at its relaxed geometry, computed with PBE.

```
K2RbTl3I6
1.0
5.072 0.000 0.000
0.000 10.177 0.349
-2.536 -2.947 10.691
I Tl K Rb
6 3 2 1
Direct
0.998 0.741 0.996 I
0.002 0.259 0.004 I
0.666 0.582 0.333 I
0.334 0.418 0.667 I
0.670 0.085 0.341 I
0.330 0.915 0.659 I
0.834 0.169 0.667 Tl
0.166 0.831 0.333 Tl
0.500 0.500 0.000 Tl
0.168 0.333 0.336 K
0.832 0.667 0.664 K
0.500 0.000 0.000 Rb
```

Results
The space group is C2/m, No. 12. As for the final energy: -2.70 eV per atom.


[4]
Crystalline KRb4Tl3I8 at its relaxed geometry, computed with PBE.

```
KRb4Tl3I8
1.0
-4.213 -4.395 8.329
9.049 -4.428 2.241
-0.563 10.222 -1.281
Rb Tl I K
4 3 8 1
Direct
0.500 0.000 0.000 Rb
0.500 0.000 0.500 Rb
0.000 0.000 0.000 Rb
0.000 0.000 0.500 Rb
0.000 0.500 0.500 Tl
0.500 0.500 0.500 Tl
0.500 0.500 0.000 Tl
0.754 0.262 0.008 I
0.254 0.261 0.508 I
0.754 0.262 0.507 I
0.746 0.739 0.492 I
0.254 0.262 0.008 I
0.246 0.738 0.493 I
0.246 0.738 0.992 I
0.746 0.738 0.992 I
0.000 0.500 0.000 K
```

Results
The space group is R-3m, No. 166. As for the final energy: -2.71 eV per atom.


[5]
Crystalline K2RbTmI6 at its relaxed geometry, computed with PBE.

```
K2RbTmI6
1.0
-6.835 5.154 1.717
-6.173 -2.649 5.578
-0.482 4.021 8.209
I Tm Rb K
6 1 1 2
Direct
0.128 0.414 0.781 I
0.678 0.128 0.781 I
0.555 0.223 0.241 I
0.982 0.555 0.241 I
0.223 0.982 0.241 I
0.414 0.678 0.781 I
0.326 0.326 0.021 Tm
0.816 0.816 0.551 Rb
0.526 0.526 0.421 K
0.014 0.014 0.957 K
```

Results
The space group is R3, No. 146. As for the final energy: -3.13 eV per atom.


[6]
Crystalline KRb2TmI6 at its relaxed geometry, computed with PBE.

```
KRb2TmI6
1.0
8.855 0.000 0.001
4.427 7.668 0.000
4.427 2.556 7.438
I K Rb Tm
6 1 2 1
Direct
0.556 0.186 0.257 I
0.454 0.649 0.789 I
0.649 0.108 0.789 I
0.108 0.454 0.789 I
0.186 0.001 0.257 I
0.001 0.556 0.257 I
0.818 0.818 0.545 K
0.537 0.537 0.389 Rb
0.030 0.030 0.910 Rb
0.323 0.323 0.031 Tm
```

Results
The space group is R3, No. 146. As for the final energy: -3.13 eV per atom.


[7]
Crystalline KRb2UI6 at its relaxed geometry, computed with PBE.

```
KRb2UI6
1.0
8.634 0.000 -0.038
0.000 9.262 0.000
0.022 0.000 12.545
Rb I K U
4 12 2 2
Direct
0.467 0.414 0.250 Rb
0.967 0.086 0.750 Rb
0.533 0.586 0.750 Rb
0.033 0.914 0.250 Rb
0.330 0.712 0.064 I
0.296 0.680 0.441 I
0.622 0.039 0.234 I
0.378 0.961 0.766 I
0.878 0.539 0.266 I
0.830 0.788 0.564 I
0.122 0.461 0.734 I
0.796 0.820 0.941 I
0.670 0.288 0.936 I
0.204 0.180 0.059 I
0.704 0.320 0.559 I
0.170 0.212 0.436 I
0.000 0.500 0.000 K
0.500 0.000 0.500 K
0.500 0.000 0.000 U
0.000 0.500 0.500 U
```

Results
The space group is P2_1/c, No. 14. As for the final energy: -3.60 eV per atom.


[8]
Crystalline K2RbUI8 at its relaxed geometry, computed with PBE.

```
K2RbUI8
1.0
-6.685 1.057 2.123
2.010 -2.161 -9.392
-0.966 -10.376 2.185
I K Rb U
8 2 1 1
Direct
0.537 0.744 0.000 I
0.904 0.168 0.195 I
0.426 0.718 0.501 I
0.094 0.831 0.194 I
0.906 0.169 0.806 I
0.463 0.256 0.000 I
0.096 0.832 0.805 I
0.574 0.282 0.499 I
0.501 0.500 0.720 K
0.499 0.500 0.280 K
0.000 0.000 0.500 Rb
0.000 0.000 0.000 U
```

Results
The space group is P-1, No. 2. As for the final energy: -3.31 eV per atom.